# Y2AgMo

A relaxed structure of Y2AgMo (PBE, Alexandria via LeMat-Bulk).

## Properties
E_form (eV per atom): 0.46
E_tot (eV/atom): -6.193
Symmetry: F-43m, No. 216
E above lowest polymorph (meV/atom): 388

Cell and atoms, written as CIF:
```
data_Y2AgMo
_chemical_formula_sum 'Y2 Ag1 Mo1'
_space_group_name_H-M_alt 'P 1'
_space_group_IT_number 1
_space_group_name_Hall 'P 1'
_cell_length_a 5.0098
_cell_length_b 5.0098
_cell_length_c 5.0098
_cell_angle_alpha 60.00
_cell_angle_beta 60.00
_cell_angle_gamma 60.00
loop_
_atom_site_label
_atom_site_type_symbol
_atom_site_fract_x
_atom_site_fract_y
_atom_site_fract_z
Ag1 Ag 0.5000 0.5000 0.5000
Mo1 Mo 0.7500 0.7500 0.7500
Y1 Y 0.2500 0.2500 0.2500
Y2 Y 0.0000 0.0000 0.0000
```